1.
# PBE Rb4Dy3AlS8, relaxed
# theoretical density = 4.4 g cm⁻³
# energy relative to the elements, uncorrected = -1623 meV per atom
# total magnetic moment = 0.00 Bohr magnetons per cell
data_Rb4Dy3AlS8
_space_group_name_H-M_alt 'R -3 m'
_space_group_IT_number 166
_space_group_name_Hall '-R 3 2"'
_cell_length_a 7.9850
_cell_length_b 7.9850
_cell_length_c 23.0077
_cell_angle_alpha 90.00
_cell_angle_beta 90.00
_cell_angle_gamma 120.00
loop_
_atom_site_label
_atom_site_fract_x
_atom_site_fract_y
_atom_site_fract_z
_atom_site_occupancy
Rb1 0.0000 0.0000 0.0000 1
Rb2 0.0000 0.5000 0.0000 1
Dy1 0.0000 0.5000 0.5000 1
Al1 0.0000 0.0000 0.5000 1
S1 0.0000 0.0000 0.2314 1
S2 0.0226 0.5113 0.2279 1

=====

2.
# PBE LiPmGa, relaxed
# energy relative to the lowest polymorph listed for this composition = 0 meV per atom
# theoretical density = 5.4 g cm⁻³
# total magnetic moment = 0.00 Bohr magnetons per cell
data_LiPmGa
_space_group_name_H-M_alt 'P -6 2 m'
_space_group_IT_number 189
_space_group_name_Hall 'P -6 -2'
_cell_length_a 7.1761
_cell_length_b 7.1761
_cell_length_c 4.5987
_cell_angle_alpha 90.00
_cell_angle_beta 90.00
_cell_angle_gamma 120.00
loop_
_atom_site_label
_atom_site_fract_x
_atom_site_fract_y
_atom_site_fract_z
_atom_site_occupancy
Li1 0.0000 0.2297 0.0000 1
Pm1 0.0000 0.5773 0.5000 1
Ga1 0.0000 0.0000 0.5000 1
Ga2 0.3333 0.6667 0.0000 1

=====

3.
# PBE DyTm4Ni, relaxed
# energy = -4.784 eV/atom
# theoretical density = 9.2 g cm⁻³
# total magnetic moment = 0.00 Bohr magnetons per cell
data_DyTm4Ni
_space_group_name_H-M_alt 'C 1 2/c 1'
_space_group_IT_number 15
_space_group_name_Hall '-C 2yc'
_cell_length_a 9.171
_cell_length_b 12.497
_cell_length_c 5.932
_cell_angle_alpha 90.00
_cell_angle_beta 106.93
_cell_angle_gamma 90.00
loop_
_atom_site_label
_atom_site_fract_x
_atom_site_fract_y
_atom_site_fract_z
_atom_site_occupancy
Dy1 0.000 0.099 0.250 1
Tm1 0.109 0.330 0.554 1
Tm2 0.244 0.098 0.876 1
Ni1 0.000 0.499 0.250 1

=====

4.
# PBE CdRhO3, relaxed
# theoretical density = 6.5 g cm⁻³
# energy relative to the elements, uncorrected = 683 meV per atom
# total magnetic moment = 3.85 Bohr magnetons per cell
data_CdRhO3
_space_group_name_H-M_alt 'P m -3 m'
_space_group_IT_number 221
_space_group_name_Hall '-P 4 2 3'
_cell_length_a 4.077
_cell_length_b 4.077
_cell_length_c 4.077
_cell_angle_alpha 90.00
_cell_angle_beta 90.00
_cell_angle_gamma 90.00
loop_
_atom_site_label
_atom_site_fract_x
_atom_site_fract_y
_atom_site_fract_z
_atom_site_occupancy
Cd1 0.000 0.000 0.000 1
Rh1 0.500 0.500 0.500 1
O1 0.000 0.000 0.500 1

=====

5.
# PBE Li3Nd2YSe6, relaxed
# theoretical density = 4.9 g cm⁻³
# energy relative to the elements, uncorrected = -1674 meV per atom
# total magnetic moment = 0.00 Bohr magnetons per cell
data_Li3Nd2YSe6
_space_group_name_H-M_alt 'C 1 2/m 1'
_space_group_IT_number 12
_space_group_name_Hall '-C 2y'
_cell_length_a 7.209
_cell_length_b 12.491
_cell_length_c 6.954
_cell_angle_alpha 90.00
_cell_angle_beta 110.18
_cell_angle_gamma 90.00
loop_
_atom_site_label
_atom_site_fract_x
_atom_site_fract_y
_atom_site_fract_z
_atom_site_occupancy
Li1 0.000 0.000 0.000 1
Li2 0.000 0.337 0.000 1
Nd1 0.000 0.167 0.500 1
Y1 0.000 0.500 0.500 1
Se1 0.240 0.500 0.244 1
Se2 0.249 0.337 0.758 1

=====

6.
# PBE Mn2AsPd8, relaxed
# energy relative to the lowest polymorph listed for this composition = 0 meV per atom
# theoretical density = 9.9 g cm⁻³
# total magnetic moment = 17.80 Bohr magnetons per cell
data_Mn2AsPd8
_space_group_name_H-M_alt 'I m m m'
_space_group_IT_number 71
_space_group_name_Hall '-I 2 2'
_cell_length_a 4.478
_cell_length_b 5.725
_cell_length_c 13.508
_cell_angle_alpha 90.00
_cell_angle_beta 90.00
_cell_angle_gamma 90.00
loop_
_atom_site_label
_atom_site_fract_x
_atom_site_fract_y
_atom_site_fract_z
_atom_site_occupancy
Mn1 0.000 0.000 0.188 1
As1 0.000 0.000 0.500 1
Pd1 0.000 0.244 0.000 1
Pd2 0.000 0.262 0.361 1
Pd3 0.000 0.500 0.185 1